The following is a PBE-GGA calculation of an optimized crystal structure of Pu2NiIr, from Alexandria.

Calculated density   15.64 g cm⁻³
Energy relative to the elements   -252 meV/atom

CIF file:
```
data_Pu2NiIr
_chemical_formula_sum 'Pu2 Ni1 Ir1'
_space_group_name_H-M_alt 'P 4/m m m'
_space_group_IT_number 123
_space_group_name_Hall '-P 4 2'
_cell_length_a 4.749
_cell_length_b 4.749
_cell_length_c 3.478
_cell_angle_alpha 90.00
_cell_angle_beta 90.00
_cell_angle_gamma 90.00
loop_
_atom_site_label
_atom_site_type_symbol
_atom_site_fract_x
_atom_site_fract_y
_atom_site_fract_z
Pu1 Pu 0.000 0.500 0.000
Ni1 Ni 0.000 0.000 0.500
Ir1 Ir 0.500 0.500 0.500
```